## w
LiVNi: optimized geometry, PBE.

The structure in extended XYZ format:
```
12
Lattice="-1.8219 1.9979 0.2866 -0.6224 -1.4876 6.4137 7.3614 4.6174 1.7098" Properties=species:S:1:pos:R:3 pbc="T T T"
Li 0.3184 0.0230 1.8634
Li 5.3077 4.5520 2.0079
Li -0.3906 0.5757 6.4022
Li 4.5988 5.1047 6.5466
V 2.0357 1.2529 4.2073
V 1.5270 2.3182 6.4450
V 2.8814 3.8749 4.2027
V 3.3901 2.8095 1.9651
Ni 5.2931 4.1990 4.3756
Ni 1.0299 2.4569 2.3173
Ni -0.3759 0.9287 4.0344
Ni 3.8873 2.6708 6.0927
```

The calculation puts the density of states at the Fermi level at 8.10 states/eV per cell.



## x
LiVNi: optimized geometry, PBE.

The structure in extended XYZ format:
```
6
Lattice="4.5237 0.0000 0.0145 0.0000 2.4166 0.0000 -1.4131 0.0000 7.1164" Properties=species:S:1:pos:R:3 pbc="T T T"
Li 3.3756 0.6042 2.2662
Li -0.2650 1.8125 4.8647
V 1.1102 0.6042 0.4883
V 2.0004 1.8125 6.6427
Ni 2.0045 0.6042 4.4971
Ni 1.1062 1.8125 2.6339
```

The calculation puts the density of states at the Fermi level at 6.62 states/eV per cell.



Relative energies, in meV/atom, with the most stable structure set to zero: w 0; x 13.



## w
Li2VNi2: optimized geometry, PBE.

The structure in extended XYZ format:
```
5
Lattice="3.0800 0.0000 -0.4750 -0.0733 3.0792 -0.4750 -0.5433 -0.5564 6.7003" Properties=species:S:1:pos:R:3 pbc="T T T"
Li 2.0201 0.4916 2.8751
Li 0.4434 2.0312 2.8751
V 0.0000 0.0000 0.0000
Ni 0.7817 0.8005 5.0684
Ni 1.6818 1.7223 0.6818
```

The calculation puts the density of states at the Fermi level at 2.52 states/eV per cell.



## x
Li2VNi2: optimized geometry, PBE.

The structure in extended XYZ format:
```
10
Lattice="6.7652 0.0000 0.0000 0.0000 6.7652 0.0000 0.0000 0.0000 2.5034" Properties=species:S:1:pos:R:3 pbc="T T T"
Ni 1.3054 4.6880 1.2517
Ni 4.6880 5.4598 1.2517
Ni 5.4598 2.0772 1.2517
Ni 2.0772 1.3054 1.2517
V 0.0000 0.0000 0.0000
V 3.3826 3.3826 0.0000
Li 2.6393 6.0219 0.0000
Li 6.0219 4.1259 0.0000
Li 4.1259 0.7433 0.0000
Li 0.7433 2.6393 0.0000
```

The calculation puts the density of states at the Fermi level at 9.54 states/eV per cell.



Relative energies, in meV/atom, with the most stable structure set to zero: w 15; x 0.



## w
Li2NiW: optimized geometry, PBE.

The structure in extended XYZ format:
```
4
Lattice="-0.9366 -3.0873 2.5789 1.2067 -2.7400 -2.8453 2.5793 2.9902 1.2106" Properties=species:S:1:pos:R:3 pbc="T T T"
Li 0.0000 0.0000 0.0000
Li 1.9605 -1.3318 -0.8839
Ni 0.1350 -2.9137 -0.1332
W 0.8888 -1.5054 1.8282
```

The calculation puts the density of states at the Fermi level at 0.85 states/eV per cell.



## x
Li2NiW: optimized geometry, PBE.

The structure in extended XYZ format:
```
4
Lattice="5.3745 0.0002 0.0038 -3.0034 4.4569 0.0038 0.5387 1.0127 2.2966" Properties=species:S:1:pos:R:3 pbc="T T T"
Li 0.0000 0.0000 0.0000
Li 1.1855 2.2286 0.0038
Ni 2.9566 0.5064 1.1502
W -1.2324 2.7348 1.1502
```

The calculation puts the density of states at the Fermi level at 2.34 states/eV per cell.



Relative energies, in meV/atom, with the most stable structure set to zero: w 96; x 0.